# Tb7Pm3Er

Tb7Pm3Er after structural relaxation (PBE-GGA, Alexandria).

Output
SG	Immm (71)
formation energy	0.264	eV/atom
relative energy among the computed polymorphs	12.19	kJ/mol of atoms
crystal system	orthorhombic
magnetization	0.29	μB per formula unit
E_tot	-4.393	eV per atom

Cell lengths 8.451, 8.451, 8.451 Å; angles 139.38, 97.19, 96.65 degrees
Element x y z (fractional)
Tb: 0.000 0.000 0.000
Tb: 0.097 0.799 0.298
Tb: 0.293 0.500 0.793
Tb: 0.499 0.201 0.298
Tb: 0.501 0.799 0.702
Tb: 0.707 0.500 0.207
Tb: 0.903 0.201 0.702
Pm: 0.288 0.288 0.000
Pm: 0.500 0.000 0.500
Pm: 0.712 0.712 0.000
Er: 0.000 0.500 0.500